[1]
# InGeBi

An optimized crystal structure of InGeBi (PBE-GGA, the Alexandria database).

Properties
Offset from the most stable computed form in meV/atom: 13
Formation energy in eV per atom: 0.13
Crystal system: trigonal

Lattice parameters (Å, degrees): 4.2642 4.2642 5.4148 90.00 90.00 120.00
With the nearest neighbours (Å) after each atom.
Fractional coordinates of all 3 atoms:
Ge (0.6667, 0.3333, 0.3276)  3 Bi 2.90, 3 In 2.96
In (0.3333, 0.6667, 0.6295)  3 Ge 2.96
Bi (0.0000, 0.0000, 0.0429)  3 Ge 2.90



[2]
# In3GeBi

An optimized crystal structure of In3GeBi (PBE-GGA, the Alexandria database).

Properties
Offset from the most stable computed form in meV/atom: 0
Formation energy in eV per atom: 0.29
Crystal system: cubic

Lattice parameters (Å, degrees): 5.3580 5.3580 5.3580 90.00 90.00 90.00
With the nearest neighbours (Å) after each atom.
Fractional coordinates of all 5 atoms:
In (0.5000, 0.0000, 0.0000)  2 Ge 2.68
In (0.0000, 0.0000, 0.5000)  2 Ge 2.68
Ge (0.0000, 0.0000, 0.0000)  6 In 2.68
Bi (0.5000, 0.5000, 0.5000)  12 In 3.79
In (0.0000, 0.5000, 0.0000)  2 Ge 2.68



[3]
# In2GeBi

An optimized crystal structure of In2GeBi (PBE-GGA, the Alexandria database).

Properties
Offset from the most stable computed form in meV/atom: 0
Formation energy in eV per atom: 0.13
Crystal system: trigonal

Lattice parameters (Å, degrees): 4.5027 4.5027 6.9911 71.21 71.21 60.00
With the nearest neighbours (Å) after each atom.
Fractional coordinates of all 4 atoms:
In (0.0701, 0.0701, 0.7897)  3 Ge 2.92, 3 Bi 3.20
In (0.2626, 0.2626, 0.2122)  3 Ge 2.96, 3 Bi 3.21
Ge (0.6684, 0.6684, 0.9949)  6 In 2.92-2.96
Bi (0.4989, 0.4989, 0.5033)  6 In 3.20-3.21, 1 Ge 3.30



[4]
# In3GeBi

An optimized crystal structure of In3GeBi (PBE-GGA, the Alexandria database).

Properties
Offset from the most stable computed form in meV/atom: 511
Formation energy in eV per atom: 0.80
Crystal system: cubic

Lattice parameters (Å, degrees): 5.8381 5.8381 5.8381 90.00 90.00 90.00
With the nearest neighbours (Å) after each atom.
Fractional coordinates of all 5 atoms:
In (0.0000, 0.5000, 0.0000)  2 Bi 2.92
Bi (0.0000, 0.0000, 0.0000)  6 In 2.92
In (0.0000, 0.0000, 0.5000)  2 Bi 2.92
In (0.5000, 0.0000, 0.0000)  2 Bi 2.92
Ge (0.5000, 0.5000, 0.5000)  12 In 4.13



[5]
# InGeBi3

An optimized crystal structure of InGeBi3 (PBE-GGA, the Alexandria database).

Properties
Offset from the most stable computed form in meV/atom: 381
Formation energy in eV per atom: 0.86
Crystal system: cubic

Lattice parameters (Å, degrees): 5.7200 5.7200 5.7200 90.00 90.00 90.00
With the nearest neighbours (Å) after each atom.
Fractional coordinates of all 5 atoms:
Bi (0.0000, 0.5000, 0.0000)  2 In 2.86
Ge (0.5000, 0.5000, 0.5000)  12 Bi 4.04
Bi (0.5000, 0.0000, 0.0000)  2 In 2.86
In (0.0000, 0.0000, 0.0000)  6 Bi 2.86
Bi (0.0000, 0.0000, 0.5000)  2 In 2.86



[6]
# InGeBi

An optimized crystal structure of InGeBi (PBE-GGA, the Alexandria database).

Properties
Offset from the most stable computed form in meV/atom: 40
Formation energy in eV per atom: 0.15
Crystal system: monoclinic

Lattice parameters (Å, degrees): 4.6265 4.3571 4.3569 72.86 80.98 80.97
With the nearest neighbours (Å) after each atom.
Fractional coordinates of all 3 atoms:
Bi (0.8610, 0.3646, 0.9702)  3 Ge 2.90-3.18, 2 In 3.22
In (0.2572, 0.7162, 0.3218)  3 Ge 2.90-2.99, 2 Bi 3.22
Ge (0.5234, 0.0575, 0.6629)  3 In 2.90-2.99, 3 Bi 2.90-3.18



[7]
# InGeBi

An optimized crystal structure of InGeBi (PBE-GGA, the Alexandria database).

Properties
Offset from the most stable computed form in meV/atom: 0
Formation energy in eV per atom: 0.11
Crystal system: triclinic

Lattice parameters (Å, degrees): 4.2416 6.7896 6.8751 66.03 72.37 71.89
With the nearest neighbours (Å) after each atom.
Fractional coordinates of all 6 atoms:
Bi (0.4116, 0.2620, 0.9219)  2 Ge 2.89-2.90, 1 Bi 3.18
Ge (0.9512, 0.7097, 0.3878)  1 Ge 2.60, 2 Bi 2.89-2.90
Bi (0.5884, 0.7380, 0.0781)  2 Ge 2.89-2.90, 1 Bi 3.18
In (0.7337, 0.1967, 0.3349)  3 Ge 2.98-3.04, 2 Bi 3.31-3.33
In (0.2663, 0.8033, 0.6651)  3 Ge 2.98-3.04, 2 Bi 3.31-3.33
Ge (0.0488, 0.2903, 0.6122)  1 Ge 2.60, 2 Bi 2.89-2.90



[8]
# InGe2Bi2

An optimized crystal structure of InGe2Bi2 (PBE-GGA, the Alexandria database).

Properties
Offset from the most stable computed form in meV/atom: 0
Formation energy in eV per atom: 0.20
Crystal system: tetragonal

Lattice parameters (Å, degrees): 5.6004 5.6004 6.0461 62.41 62.41 90.00
With the nearest neighbours (Å) after each atom.
Fractional coordinates of all 5 atoms:
Bi (0.2500, 0.7500, 0.5000)  4 Ge 2.97
Ge (0.3592, 0.3592, 0.2815)  1 Ge 2.57
Bi (0.7500, 0.2500, 0.5000)  4 Ge 2.97
Ge (0.6408, 0.6408, 0.7185)  1 Ge 2.57
In (0.0000, 0.0000, 0.0000)  2 Ge 3.28, 8 Bi 3.61



- formation energy of number 7 (InGeBi)?
  0.11 eV per atom